VASP calculation (PBE) on a relaxed CrAsPt2 crystal.

## Properties
**Calculated total energy**: -6.709 eV/atom
**Volume**: 15.44 Å³ per atom
**ΔE_f**: -0.12 eV/atom
**DOS at the Fermi energy**: 3.19 states/eV/f.u.

abc: 3.839 5.770 5.770
angles: 28.90 90.00 90.00
Fractional coordinates of all 4 atoms:
Cr: 0.000 0.000 0.000
As: 0.500 0.403 0.403
Pt: 0.000 0.261 0.261
Pt: 0.500 0.627 0.627